10
Lattice="5.569 0.000 0.000 0.000 5.482 -0.001 0.000 0.001 6.012" Properties=species:S:1:pos:R:3 comment="ErFeGe3, optimized geometry, DFT PBE" formation_enthalpy_0k_ev_per_atom=-0.3728 magmom_total_mub_per_fu=0.78 pbc="T T T"
Ge 2.110 1.453 1.207
Ge 4.894 0.482 4.213
Ge 5.354 2.888 2.795
Ge 2.569 4.528 2.625
Ge 2.569 4.529 5.801
Fe 3.695 3.060 1.207
Fe 0.910 4.357 4.213
Ge 5.354 2.888 5.632
Er 2.301 1.685 4.213
Er 5.086 0.249 1.207